Li2VFeP4O14 | PBE+U | optimized geometry

```
66
Lattice="7.0338 0.0000 0.0000 -0.0164 8.2790 0.0000 -2.3856 -0.0128 13.9499" Properties=species:S:1:pos:R:3 pbc="T T T"
Li 0.0000 0.0000 0.0000
Li -0.2791 4.1299 6.2904
Li 1.5159 8.2739 4.6514
Li 1.2781 4.1258 10.9422
Li 3.0699 8.2672 9.2895
Li 5.2059 4.1384 1.6231
V -2.0321 5.3011 13.7701
V -0.6484 1.1588 6.4642
V 4.8442 1.1753 1.8060
Fe 1.9221 5.3091 4.4785
Fe 0.8828 1.1549 11.1051
Fe 3.4764 5.2937 9.1235
P -1.5841 3.5158 11.1342
P -1.0986 7.6497 9.0963
P 0.1882 2.6669 3.6193
P 1.0674 6.7804 7.3285
P 2.3275 3.5398 1.8393
P 0.4746 7.6634 13.7418
P 1.7373 2.6478 8.2672
P 2.6154 6.7881 11.9598
P 3.8798 3.5297 6.4815
P 4.3862 7.6643 4.4375
P 3.2848 2.6461 12.9000
P 6.5510 6.8003 2.6769
O 5.6245 0.5911 8.2251
O -1.2635 4.7372 12.0050
O 0.2353 1.4996 4.6129
O 0.3143 4.0241 4.3231
O -0.2651 6.5605 8.2238
O 0.7154 6.7734 3.6261
O -0.2703 8.0161 10.3158
O -0.2927 2.7749 10.7615
O 1.4734 3.8690 0.6242
O 1.5650 6.9681 0.1722
O 0.5183 2.6239 7.3324
O 1.5076 2.4407 2.7196
O 0.9316 8.1327 6.6150
O 1.0276 5.6105 6.3397
O 0.2054 0.6115 12.8679
O 2.6048 4.7695 2.7123
O 1.7837 1.4759 9.2511
O 1.8726 4.0040 8.9741
O 1.2971 6.5650 12.8670
O 2.2721 6.7629 8.2710
O 3.6258 2.8291 1.4677
O 3.7144 8.0143 1.0062
O 3.0942 6.9319 4.8196
O 3.0526 3.8883 5.2573
O 2.0810 2.6170 11.9582
O 3.0463 2.4302 7.3472
O 2.4767 8.1447 11.2537
O 2.5770 5.6149 10.9769
O 4.0845 0.6122 3.5737
O 4.1637 4.7509 7.3647
O 3.3390 1.4811 13.8984
O 3.4054 3.9985 13.6110
O 5.2118 6.5753 3.5590
O 3.8279 6.7691 12.9026
O 5.2349 8.0087 5.6521
O 5.1759 2.8120 6.1152
O 4.6441 6.9114 9.4722
O 4.6195 3.8766 9.9137
O 6.0111 2.6374 2.6761
O 4.6167 2.4255 12.0085
O 6.4268 8.1555 1.9693
O 6.5041 5.6363 1.6786
```

## Properties
As for the crystal system: triclinic. For the offset from the most stable computed form, the calculation gives 0 meV/atom. The density of states at the Fermi level is 0.0 states/eV/cell. Its space group is P1, No. 1.

***

Li2VFeP4O14 | PBE+U | optimized geometry

```
44
Lattice="7.0345 0.0000 0.0000 -1.5517 9.4929 0.0000 -1.5557 -4.9431 8.1052" Properties=species:S:1:pos:R:3 pbc="T T T"
Li 0.0000 0.0000 0.0000
Li -1.5500 2.2722 4.0447
Li 0.2559 6.6790 3.4461
Li 0.2592 -0.5247 7.5150
V 2.1817 -0.1345 2.1503
V 5.1191 -2.4376 6.5061
Fe 0.6522 2.1431 6.2039
Fe 5.0790 4.7775 2.4381
P -0.2023 6.6568 0.3996
P -0.1980 -0.5403 4.4502
P 0.4526 2.6023 1.6134
P -1.0855 4.8684 5.6500
P 2.6042 -4.5166 7.6323
P 2.6191 2.7109 3.5820
P 3.1228 0.1029 7.3753
P 3.1317 7.3076 3.3372
O -0.7619 3.0804 2.4087
O -2.2919 5.3517 6.4689
O -1.0490 5.4035 4.2165
O 0.5119 3.1364 0.1752
O -0.3458 5.8161 1.6775
O -0.3154 -1.3676 5.7339
O 0.5847 1.0759 1.6508
O -0.9542 3.3382 5.7026
O -0.2537 8.1606 0.7005
O -0.2370 0.9653 4.7294
O 1.0103 -0.9862 3.6130
O -0.5498 1.2787 7.6747
O 1.7759 3.2364 2.2945
O 0.2386 5.5023 6.3244
O 3.2972 0.7286 0.7448
O 1.8016 2.9936 4.8307
O 1.8285 0.5582 6.6899
O 1.8385 7.7522 2.6593
O 1.3328 3.4759 7.4766
O 2.9384 1.2197 3.4170
O 4.3700 4.4078 0.6299
O 4.3836 -2.8317 4.6965
O 3.9014 -3.7161 7.6196
O 3.9109 3.5371 3.5365
O 3.9680 -0.7938 6.4854
O 3.9674 6.4043 2.4450
O 3.9492 1.4823 7.6083
O 5.5128 -0.8007 3.5621
```

## Properties
As for the crystal system: triclinic. For the offset from the most stable computed form, the calculation gives 0 meV/atom. The density of states at the Fermi level is 0.0 states/eV/cell. Its space group is P1, No. 1.

***

Li2VFeP4O14 | PBE+U | optimized geometry

```
66
Lattice="7.0344 0.0000 0.0000 -0.0171 8.2779 0.0000 -2.3738 -0.0124 13.9444" Properties=species:S:1:pos:R:3 pbc="T T T"
Li 0.0000 0.0000 0.0000
Li -0.2725 4.1349 6.3028
Li 1.5237 8.2715 4.6640
Li 1.2864 4.1318 10.9404
Li 3.0856 -0.0031 9.3063
Li 5.1974 4.1338 1.6508
V 1.8999 5.3015 4.4852
V 0.9081 1.1611 11.1232
V 4.8466 1.1612 1.8141
Fe -2.0039 5.2961 13.7865
Fe -0.6680 1.1685 6.4730
Fe 3.4850 5.3070 9.1267
P -1.5923 3.5405 11.1394
P -1.0863 7.6610 9.1028
P 0.1859 2.6421 3.6233
P 1.0695 6.8068 7.3321
P 2.3355 3.5296 1.8433
P 0.4670 7.6410 13.7505
P 1.7381 2.6660 8.2725
P 2.6289 6.7807 11.9809
P 3.8891 3.5199 6.4971
P 4.3956 7.6761 4.4597
P 3.2968 2.6580 12.9197
P 6.5491 6.7846 2.6843
O -1.3666 0.6100 8.2338
O -1.3170 4.7623 12.0233
O 0.2261 1.4712 4.6092
O 0.3006 3.9932 4.3366
O -0.2576 6.5711 8.2290
O 0.7239 6.7623 3.6302
O -0.2476 7.9996 10.3251
O -0.2957 2.8224 10.7788
O 1.5515 6.9195 0.1946
O 1.4941 3.8857 0.6280
O 0.5284 2.6410 7.3373
O 1.5090 2.4328 2.7216
O 0.9225 8.1650 6.6295
O 1.0198 5.6394 6.3371
O 0.1537 0.5903 12.8910
O 2.6413 4.7558 2.7155
O 1.7883 1.5013 9.2707
O 1.8823 4.0246 8.9752
O 1.2901 6.5546 12.8664
O 2.2794 6.7807 8.2666
O 3.6262 2.8071 1.4656
O 3.6967 8.0011 1.0150
O 3.1042 6.9570 4.8346
O 3.0448 3.8573 5.2788
O 2.0773 2.6245 11.9892
O 3.0647 2.4298 7.3769
O 2.4920 8.1342 11.2705
O 2.5947 5.6123 10.9900
O 4.1120 0.6229 3.5834
O 4.1856 4.7482 7.3654
O 3.3564 1.4868 13.9087
O 3.4242 4.0128 13.6274
O 5.2276 6.5783 3.5904
O 3.8283 6.7661 12.9311
O 5.2277 8.0347 5.6804
O 5.1879 2.7912 6.1295
O 4.6500 6.9328 9.4709
O 4.6185 3.8942 9.9113
O 6.0135 2.6198 2.6726
O 4.6055 2.4402 12.0024
O 6.4304 8.1352 1.9688
O 6.5059 5.6109 1.7025
```

## Properties
As for the crystal system: triclinic. For the offset from the most stable computed form, the calculation gives 0 meV/atom. The density of states at the Fermi level is 0.0 states/eV/cell. Its space group is P1, No. 1.

***

Li2VFeP2O8 | PBE+U | optimized geometry

```
28
Lattice="4.7622 0.0000 0.0000 0.0000 6.0934 0.0000 -0.0248 0.0000 10.4843" Properties=species:S:1:pos:R:3 pbc="T T T"
Li 0.0000 0.0000 0.0000
Li 0.0000 3.0467 0.0000
Li 2.3687 0.0000 5.2422
Li 2.3687 3.0467 5.2422
V 0.0641 1.5234 7.5825
V 4.6733 4.5701 2.9019
Fe 2.2450 1.5234 2.3215
Fe 2.4924 4.5701 8.1628
P 0.4175 4.5701 6.2153
P 1.9914 4.5701 0.9679
P 2.7461 1.5234 9.5165
P 4.3199 1.5234 4.2690
O 0.9878 4.5701 4.7685
O 1.0677 3.3348 6.9409
O 1.0677 5.8054 6.9409
O 1.0938 1.5234 4.2138
O 1.2095 1.5234 9.4887
O 1.3544 3.3335 1.7117
O 1.3544 5.8066 1.7117
O 1.3776 4.5701 10.0174
O 3.3598 1.5234 0.4670
O 3.3830 0.2868 8.7726
O 3.3830 2.7599 8.7726
O 3.5279 4.5701 0.9956
O 3.6436 4.5701 6.2705
O 3.6697 0.2881 3.5434
O 3.6697 2.7586 3.5434
O 3.7496 1.5234 5.7159
```

## Properties
As for the crystal system: monoclinic. The density of states at the Fermi level is 0.0 states/eV/cell. For the electronic total energy, the calculation gives -7.00 eV/atom. Its space group is P2_1/m, No. 11.

***

Li2VFeP4O14 | PBE+U | optimized geometry

```
44
Lattice="6.9234 0.0000 0.0000 -1.7049 9.4284 0.0000 -3.2290 -1.9862 9.0083" Properties=species:S:1:pos:R:3 pbc="T T T"
Li 0.0000 0.0000 0.0000
Li -1.9299 -0.3328 7.0205
Li -1.5308 3.2686 7.4686
Li 1.0203 4.1901 3.3038
V -0.5163 7.9300 6.0348
V 4.3081 4.0116 4.6213
Fe 0.9326 8.4515 1.3657
Fe 2.3371 2.9157 7.2576
P -1.5064 1.6087 4.6394
P -2.9381 6.0324 7.0343
P 0.2551 3.1482 0.3634
P -0.4435 6.5142 3.6960
P 1.3488 0.9539 3.9761
P 0.9806 -0.6884 8.5402
P 3.4996 6.8460 0.0814
P 2.5541 6.8491 4.4133
O -2.0473 0.3867 5.2970
O -3.1409 4.5247 6.6667
O -3.0152 2.1928 8.1895
O -2.5722 -0.1949 8.8336
O -3.3483 6.4043 8.4444
O -0.9441 5.0604 3.7999
O -0.2143 1.1635 3.7452
O -1.1458 2.7869 5.6060
O -1.4476 7.5326 4.2735
O 0.9763 3.6604 1.5627
O -1.4716 6.2863 6.6716
O 0.1775 6.8390 2.3565
O -0.0358 -0.4597 7.4041
O 1.8857 0.3421 2.7300
O 2.0340 6.8921 0.3609
O 1.6681 0.3047 5.3127
O 1.7375 2.5439 4.1489
O 0.7766 6.6463 4.8475
O 3.8154 0.6021 0.7943
O 0.6474 3.8198 8.0568
O 2.1539 -1.4289 7.7909
O 1.4320 0.8843 8.7714
O 2.5781 2.9602 5.2796
O 2.9129 5.3934 3.9792
O 4.4809 7.7061 0.7607
O 4.5166 2.3444 3.6061
O 5.6067 3.0683 0.9264
O 3.0141 6.9166 6.0813
```

## Properties
As for the crystal system: triclinic. For the offset from the most stable computed form, the calculation gives 354 meV/atom. The density of states at the Fermi level is 0.0 states/eV/cell. Its space group is P1, No. 1.

***

Li2ZnFeP2O8 | PBE+U | optimized geometry

```
28
Lattice="4.7580 0.0000 0.0000 0.0000 6.0500 0.0000 -0.0589 0.0000 10.3614" Properties=species:S:1:pos:R:3 pbc="T T T"
Li 0.0000 0.0000 0.0000
Li 0.0000 3.0250 0.0000
Li 2.3495 0.0000 5.1807
Li 2.3495 3.0250 5.1807
Zn 0.0709 1.5125 7.4275
Zn 4.6281 4.5375 2.9339
Fe 2.2454 1.5125 2.2801
Fe 2.4536 4.5375 8.0813
P 0.3539 4.5375 6.1461
P 1.9789 4.5375 0.9995
P 2.7202 1.5125 9.3619
P 4.3452 1.5125 4.2153
O 0.9502 4.5375 4.7047
O 0.9954 3.3014 6.8801
O 0.9954 5.7736 6.8801
O 1.1218 1.5125 4.1976
O 1.1806 1.5125 9.3138
O 1.3330 3.3048 1.7299
O 1.3330 5.7703 1.7299
O 1.3484 4.5375 9.9163
O 3.3506 1.5125 0.4451
O 3.3661 0.2797 8.6315
O 3.3661 2.7453 8.6315
O 3.5185 4.5375 1.0476
O 3.5772 4.5375 6.1638
O 3.7037 0.2764 3.4812
O 3.7037 2.7486 3.4812
O 3.7489 1.5125 5.6567
```

## Properties
As for the crystal system: monoclinic. The density of states at the Fermi level is 0.0 states/eV/cell. For the electronic total energy, the calculation gives -6.50 eV/atom. Its space group is P2_1/m, No. 11.

***

Li2Zr7FeP12O48 | PBE+U | optimized geometry

```
70
Lattice="8.9918 0.0000 0.0000 -0.0127 9.0738 0.0000 -0.0661 -0.0356 12.6495" Properties=species:S:1:pos:R:3 pbc="T T T"
Li 0.0000 0.0000 0.0000
Li 0.6398 4.4759 1.7355
Zr 0.2769 2.2527 8.7964
Zr 0.2818 6.8061 5.4673
Zr 0.2838 6.1273 11.7147
Zr 4.7811 6.2552 2.4201
Zr 4.7578 6.8363 8.8219
Zr 4.7997 2.3260 5.4169
Zr 4.7713 1.7195 11.8293
Fe 0.2915 1.6289 2.5529
P 1.5165 7.5000 2.1236
P 1.5161 1.0089 5.7455
P 2.1884 8.7724 10.3998
P 2.8479 4.2480 10.2363
P 3.4042 3.0278 2.1488
P 3.5659 5.6077 5.7562
P 5.9883 1.0534 8.4889
P 6.0834 7.5431 12.1127
P 6.7596 8.8264 3.9463
P 7.3633 4.2233 3.8329
P 7.9763 5.4892 8.4528
P 8.0706 2.8607 12.2034
O 0.8486 1.8642 6.8420
O 0.9838 6.4311 1.1079
O 0.9798 7.1049 3.5037
O 0.9869 1.4076 4.3585
O 1.0123 8.9079 1.7218
O 1.1720 8.0119 11.3145
O 1.2202 8.5909 6.0108
O 1.3863 0.6165 9.4736
O 1.8607 2.8668 2.0746
O 1.9402 3.4280 9.3051
O 1.9878 5.1717 11.1339
O 2.0247 5.6880 5.6990
O 3.0371 1.2526 5.7985
O 3.0570 7.4431 2.1225
O 3.0173 7.7996 9.5556
O 3.1079 0.5317 11.3231
O 3.6540 3.3327 11.1656
O 3.7142 4.5269 1.9056
O 3.8166 5.0770 9.3926
O 3.9411 2.6015 3.5200
O 3.9855 4.1490 6.0105
O 4.0819 2.1589 1.0711
O 4.0632 6.5219 6.8875
O 4.1504 6.0792 4.4132
O 5.4658 6.6818 0.5154
O 5.4308 1.5327 9.8379
O 5.4518 1.9395 7.3479
O 5.5611 8.6662 8.2463
O 5.6255 7.1007 10.7205
O 5.7863 0.6046 4.7567
O 5.7449 9.0282 12.3569
O 5.9591 7.8686 3.0494
O 6.4410 5.0384 2.8964
O 6.4707 5.7521 8.3395
O 6.5288 3.3031 4.7328
O 6.5281 2.8270 12.1999
O 7.5281 1.1420 8.5178
O 7.6426 0.6401 3.0385
O 7.6265 8.0108 4.9280
O 7.6310 7.4052 12.2488
O 8.1760 5.1882 4.7214
O 8.2763 3.9989 8.2314
O 8.3694 3.4439 2.9456
O 8.4659 5.8857 9.8721
O 8.5588 4.2956 12.5903
O 8.6049 2.4933 10.8108
O 8.6785 1.8630 0.5770
O 8.7108 6.3525 7.4064
```

## Properties
As for the crystal system: triclinic. The density of states at the Fermi level is 42.1 states/eV/cell. For the electronic total energy, the calculation gives -7.85 eV/atom. Its space group is P1, No. 1.

***

LiPa2FeO6 | PBE+U | optimized geometry

```
10
Lattice="5.2599 0.0000 0.0000 0.0000 5.2599 0.0000 0.0000 0.0000 4.2870" Properties=species:S:1:pos:R:3 pbc="T T T"
Li 0.0000 0.0000 0.0000
Pa 0.0000 2.6300 1.7799
Pa 2.6300 0.0000 1.7799
Fe 2.6300 2.6300 0.3809
O 0.0000 0.0000 2.4558
O 1.2912 1.2912 0.5328
O 1.2912 3.9687 0.5328
O 2.6300 2.6300 2.4915
O 3.9687 1.2912 0.5328
O 3.9687 3.9687 0.5328
```

## Properties
As for the crystal system: tetragonal. The density of states at the Fermi level is 4.9 states/eV/cell. For the electronic total energy, the calculation gives -7.93 eV/atom. Its space group is P4mm, No. 99.

***

LiPaFe2O6 | PBE+U | optimized geometry

```
10
Lattice="2.6982 1.5578 4.6953 -2.6982 1.5578 4.6953 0.0000 -3.1156 4.6953" Properties=species:S:1:pos:R:3 pbc="T T T"
Li 0.0000 0.0000 0.0000
Pa 0.0000 0.0000 7.0199
Fe 0.0000 0.0000 2.9873
Fe 0.0000 0.0000 10.0397
O -0.9706 -1.8085 6.2788
O -1.5683 0.1866 8.5727
O -1.0809 1.7448 6.2788
O 0.6225 -1.4515 8.5727
O 2.0515 0.0637 6.2788
O 0.9458 1.2649 8.5727
```

## Properties
As for the crystal system: trigonal. The density of states at the Fermi level is 0.0 states/eV/cell. For the electronic total energy, the calculation gives -7.46 eV/atom. Its space group is R3, No. 146.

***

LiPaFeO4 | PBE+U | optimized geometry

```
14
Lattice="-3.1091 3.5569 4.3671 3.1091 -3.5569 4.3671 3.1091 3.5569 -4.3671" Properties=species:S:1:pos:R:3 pbc="T T T"
Li 0.0000 1.7784 1.0844
Li 3.1091 1.7784 3.2827
Pa 3.1091 0.0000 0.0000
Pa 0.0000 0.0000 4.3671
Fe 1.5546 1.7784 -2.1836
Fe 1.5546 -1.7784 2.1836
O 3.1091 -0.2965 2.0975
O 3.1091 3.2604 -2.0975
O 1.7440 1.7784 0.0766
O 4.4742 1.7784 0.0766
O -1.3651 1.7784 4.2905
O 1.3651 1.7784 4.2905
O 0.0000 0.2965 6.4647
O 0.0000 3.8534 2.2696
```

## Properties
As for the crystal system: orthorhombic. The density of states at the Fermi level is 0.0 states/eV/cell. For the electronic total energy, the calculation gives -7.86 eV/atom. Its space group is Imma, No. 74.